Entry 1:
Entry from the Alexandria database: a relaxed La6Dy12Tm crystal (PBE-GGA).

```
La6Dy12Tm
1.0
-6.746 4.662 -5.797
-4.063 -7.199 5.703
5.713 6.379 5.247
Dy La Tm
12 6 1
direct
0.905 0.228 0.228 Dy
0.114 0.886 0.500 Dy
0.772 0.772 0.095 Dy
0.772 0.095 0.772 Dy
0.500 0.114 0.886 Dy
0.095 0.772 0.772 Dy
0.114 0.500 0.886 Dy
0.886 0.500 0.114 Dy
0.500 0.886 0.114 Dy
0.228 0.228 0.905 Dy
0.228 0.905 0.228 Dy
0.886 0.114 0.500 Dy
0.329 0.329 0.628 La
0.372 0.671 0.671 La
0.628 0.329 0.329 La
0.671 0.671 0.372 La
0.329 0.628 0.329 La
0.671 0.372 0.671 La
0.000 0.000 0.000 Tm
```

Results
DFT total energy = -83.3 eV per cell
Formation energy = 0.311 eV/atom

Entry 2:
Entry from the Alexandria database: a relaxed Nd5MgSi2 crystal (PBE-GGA).

```
Nd5MgSi2
1.0
7.057 0.000 -3.331
-1.573 6.880 -3.331
0.157 0.197 9.474
Si Mg Nd
4 2 10
direct
0.115 0.385 0.000 Si
0.885 0.615 0.000 Si
0.385 0.885 0.000 Si
0.615 0.115 0.000 Si
0.750 0.750 0.500 Mg
0.250 0.250 0.500 Mg
0.460 0.310 0.270 Nd
0.690 0.190 0.730 Nd
0.960 0.460 0.270 Nd
0.190 0.040 0.730 Nd
0.040 0.540 0.730 Nd
0.500 0.500 0.000 Nd
0.540 0.690 0.730 Nd
0.810 0.960 0.270 Nd
0.000 0.000 0.000 Nd
0.310 0.810 0.270 Nd
```

Results
DFT total energy = -78.4 eV per cell

Entry 3:
Entry from the Alexandria database: a relaxed HfV4Ga crystal (PBE-GGA).

```
HfV4Ga
1.0
5.071 0.000 0.000
2.535 4.391 0.000
2.535 1.464 4.140
Hf V Ga
1 4 1
direct
0.250 0.250 0.250 Hf
0.622 0.133 0.622 V
0.622 0.622 0.133 V
0.622 0.622 0.622 V
0.133 0.622 0.622 V
0.000 0.000 0.000 Ga
```

Results
DFT total energy = -49.3 eV per cell
Formation energy = 0.021 eV/atom

Entry 4:
Entry from the Alexandria database: a relaxed Pr2Ni3Pt12Rh crystal (PBE-GGA).

```
Pr2Ni3Pt12Rh
1.0
-4.878 0.426 -6.497
-4.496 -6.340 -2.403
-8.103 -0.021 0.720
Ni Pt Pr Rh
3 12 2 1
direct
0.000 0.500 0.000 Ni
0.500 0.000 0.000 Ni
0.000 0.000 0.500 Ni
0.386 0.877 0.877 Pt
0.373 0.874 0.373 Pt
0.627 0.627 0.126 Pt
0.123 0.614 0.123 Pt
0.614 0.123 0.123 Pt
0.877 0.877 0.386 Pt
0.877 0.386 0.877 Pt
0.123 0.123 0.614 Pt
0.874 0.373 0.373 Pt
0.126 0.627 0.627 Pt
0.627 0.126 0.627 Pt
0.373 0.373 0.874 Pt
0.624 0.624 0.624 Pr
0.376 0.376 0.376 Pr
0.000 0.000 0.000 Rh
```

Results
DFT total energy = -105.0 eV per cell
Formation energy = 0.097 eV/atom

Entry 5:
Entry from the Alexandria database: a relaxed Mn2Ag2I7 crystal (PBE-GGA).

```
Mn2Ag2I7
1.0
-3.541 1.854 -6.490
-4.646 -5.667 3.907
-1.665 5.912 5.590
Mn Ag I
2 2 7
direct
0.106 0.803 0.803 Mn
0.894 0.197 0.197 Mn
0.500 0.682 0.318 Ag
0.500 0.318 0.682 Ag
0.289 0.962 0.605 I
0.219 0.429 0.429 I
0.711 0.038 0.395 I
0.711 0.395 0.038 I
0.781 0.571 0.571 I
0.000 0.000 0.000 I
0.289 0.605 0.962 I
```

Results
DFT total energy = -37.7 eV per cell
Energy above the most stable polymorph in this dataset = 20 meV/atom

Entry 6:
Entry from the Alexandria database: a relaxed TaHg2Pt2 crystal (PBE-GGA).

```
TaHg2Pt2
1.0
3.741 0.000 0.000
0.000 3.741 0.000
1.871 1.871 7.082
Hg Pt Ta
2 2 1
direct
0.750 0.250 0.500 Hg
0.250 0.750 0.500 Hg
0.590 0.590 0.820 Pt
0.410 0.410 0.180 Pt
0.000 0.000 0.000 Ta
```

Results
DFT total energy = -23.2 eV per cell
Formation energy = 0.276 eV/atom
Energy above the most stable polymorph in this dataset = 180 meV/atom